Below is a relaxed structure of V3ClO, with properties calculated at the GGA+U level.

Properties
Energy relative to the lowest polymorph listed for this composition   0.000 eV/atom

a b c (Å): 4.095 4.095 4.095
angles (deg): 90.00 90.00 90.00
Space group Pm-3m (No. 221)
Asymmetric unit:
1 V 0.000 0.000 0.500 (multiplicity 3)
2 Cl 0.500 0.500 0.500 (multiplicity 1)
3 O 0.000 0.000 0.000 (multiplicity 1)

Below is a relaxed structure of VClO, with properties calculated at the GGA+U level.

Properties
VASP energy   -74.82 eV per cell

a b c (Å): 6.735 3.202 9.365
angles (deg): 90.00 109.45 90.00
Space group C2/m (No. 12)
Asymmetric unit:
1 V 0.085 0.000 0.360 (multiplicity 4)
2 Cl 0.076 0.500 0.838 (multiplicity 4)
3 O 0.192 0.000 0.591 (multiplicity 4)

Below is a relaxed structure of VClO2, with properties calculated at the GGA+U level.

Properties
Energy relative to the lowest polymorph listed for this composition   0.218 eV/atom

a b c (Å): 2.794 12.908 8.648
angles (deg): 90.00 90.00 90.00
Space group Cmcm (No. 63)
Asymmetric unit:
1 V 0.000 0.122 0.250 (multiplicity 4)
2 Cl 0.000 0.045 0.750 (multiplicity 4)
3 O 0.000 0.352 0.612 (multiplicity 8)

Below is a relaxed structure of VClO2, with properties calculated at the GGA+U level.

Properties
Energy relative to the lowest polymorph listed for this composition   1.829 eV/atom

a b c (Å): 3.1924 3.1924 23.6625
angles (deg): 90.00 90.00 120.00
Space group R-3m (No. 166, hexagonal axes)
Asymmetric unit:
1 V 0.0000 0.0000 0.0000 (multiplicity 3)
2 Cl 0.0000 0.0000 0.5000 (multiplicity 3)
3 O 0.0000 0.0000 0.0716 (multiplicity 6)

Below is a relaxed structure of V5Cl3O12, with properties calculated at the GGA+U level.

Properties
VASP energy   -996.11 eV per cell

a b c (Å): 12.987 12.987 12.987
angles (deg): 90.00 90.00 90.00
Space group Ia-3d (No. 230)
Asymmetric unit:
1 V 0.000 0.000 0.000 (multiplicity 16)
2 V 0.000 0.250 0.375 (multiplicity 24)
3 Cl 0.000 0.250 0.125 (multiplicity 24)
4 O 0.026 0.144 0.956 (multiplicity 96)

Below is a relaxed structure of VClO, with properties calculated at the GGA+U level.

Properties
VASP energy   -18.90 eV per cell

a b c (Å): 3.2572 3.2572 5.9015
angles (deg): 90.00 90.00 120.00
Space group P3m1 (No. 156)
Asymmetric unit:
1 V 0.0000 0.0000 0.0000 (multiplicity 1)
2 Cl 0.6667 0.3333 0.7139 (multiplicity 1)
3 O 0.3333 0.6667 0.1168 (multiplicity 1)

Below is a relaxed structure of VClO2, with properties calculated at the GGA+U level.

Properties
Energy relative to the lowest polymorph listed for this composition   1.598 eV/atom

a b c (Å): 5.627 5.627 5.627
angles (deg): 90.00 90.00 90.00
Space group Fm-3m (No. 225)
Asymmetric unit:
1 V 0.000 0.000 0.000 (multiplicity 4)
2 Cl 0.000 0.000 0.500 (multiplicity 4)
3 O 0.250 0.250 0.250 (multiplicity 8)

Below is a relaxed structure of VClO2, with properties calculated at the GGA+U level.

Properties
Energy relative to the lowest polymorph listed for this composition   0.310 eV/atom

a b c (Å): 2.9201 2.9201 28.2766
angles (deg): 90.00 90.00 120.00
Space group R-3m (No. 166, hexagonal axes)
Asymmetric unit:
1 V 0.0000 0.0000 0.0000 (multiplicity 3)
2 Cl 0.0000 0.0000 0.5000 (multiplicity 3)
3 O 0.0000 0.0000 0.3686 (multiplicity 6)

Below is a relaxed structure of VClO2, with properties calculated at the GGA+U level.

Properties
Energy relative to the lowest polymorph listed for this composition   0.000 eV/atom

a b c (Å): 5.172 6.829 10.884
angles (deg): 90.00 102.09 90.00
Space group P2_1/c (No. 14)
Asymmetric unit:
1 V 0.221 0.033 0.451 (multiplicity 4)
2 Cl 0.194 0.050 0.249 (multiplicity 4)
3 O 0.075 0.661 0.035 (multiplicity 4)
4 O 0.468 0.170 0.535 (multiplicity 4)

Below is a relaxed structure of VClO, with properties calculated at the GGA+U level.

Properties
VASP energy   -38.83 eV per cell

a b c (Å): 3.375 3.852 8.629
angles (deg): 90.00 90.00 90.00
Space group Pmmn (No. 59, origin choice 2)
Asymmetric unit:
1 V 0.250 0.250 0.108 (multiplicity 2)
2 Cl 0.250 0.750 0.693 (multiplicity 2)
3 O 0.250 0.750 0.042 (multiplicity 2)

Below is a relaxed structure of ZrVClO4, with properties calculated at the GGA+U level.

Properties
VASP energy   -215.32 eV per cell

a b c (Å): 9.889 6.846 6.560
angles (deg): 90.00 107.42 90.00
Space group C2/m (No. 12)
Asymmetric unit:
1 Zr 0.234 0.000 0.110 (multiplicity 4)
2 V 0.139 0.500 0.278 (multiplicity 4)
3 Cl 0.011 0.000 0.772 (multiplicity 4)
4 O 0.042 0.500 0.785 (multiplicity 4)
5 O 0.201 0.308 0.147 (multiplicity 8)
6 O 0.217 0.500 0.547 (multiplicity 4)

Below is a relaxed structure of W3ClO, with properties calculated at the GGA+U level.

Properties
VASP energy   -15.37 eV per cell

a b c (Å): 4.475 4.475 4.475
angles (deg): 90.00 90.00 90.00
Space group Pm-3m (No. 221)
Asymmetric unit:
1 W 0.000 0.000 0.500 (multiplicity 3)
2 Cl 0.000 0.000 0.000 (multiplicity 1)
3 O 0.500 0.500 0.500 (multiplicity 1)

Below is a relaxed structure of WClO2, with properties calculated at the GGA+U level.

Properties
Energy relative to the lowest polymorph listed for this composition   1.217 eV/atom

a b c (Å): 5.649 5.649 5.649
angles (deg): 90.00 90.00 90.00
Space group Fm-3m (No. 225)
Asymmetric unit:
1 W 0.000 0.000 0.000 (multiplicity 4)
2 Cl 0.000 0.000 0.500 (multiplicity 4)
3 O 0.250 0.250 0.250 (multiplicity 8)

Below is a relaxed structure of W2Cl8O, with properties calculated at the GGA+U level.

Properties
VASP energy   -89.08 eV per cell

a b c (Å): 14.933 8.153 7.122
angles (deg): 90.00 106.46 90.00
Space group C2/m (No. 12)
Asymmetric unit:
1 W 0.133 0.000 0.107 (multiplicity 4)
2 Cl 0.125 0.241 0.265 (multiplicity 8)
3 Cl 0.148 0.000 0.796 (multiplicity 4)
4 Cl 0.203 0.500 0.766 (multiplicity 4)
5 O 0.000 0.000 0.000 (multiplicity 2)

Below is a relaxed structure of WClO2, with properties calculated at the GGA+U level.

Properties
Energy relative to the lowest polymorph listed for this composition   1.430 eV/atom

a b c (Å): 3.0472 3.0472 25.8903
angles (deg): 90.00 90.00 120.00
Space group R-3m (No. 166, hexagonal axes)
Asymmetric unit:
1 W 0.0000 0.0000 0.0000 (multiplicity 3)
2 Cl 0.0000 0.0000 0.5000 (multiplicity 3)
3 O 0.0000 0.0000 0.0696 (multiplicity 6)

Below is a relaxed structure of WClO2, with properties calculated at the GGA+U level.

Properties
Energy relative to the lowest polymorph listed for this composition   0.074 eV/atom

a b c (Å): 3.1985 3.1985 28.1098
angles (deg): 90.00 90.00 120.00
Space group R-3m (No. 166, hexagonal axes)
Asymmetric unit:
1 W 0.0000 0.0000 0.0000 (multiplicity 3)
2 Cl 0.0000 0.0000 0.5000 (multiplicity 3)
3 O 0.0000 0.0000 0.3686 (multiplicity 6)

Below is a relaxed structure of WClO2, with properties calculated at the GGA+U level.

Properties
Energy relative to the lowest polymorph listed for this composition   0.000 eV/atom

a b c (Å): 8.667 8.667 8.667
angles (deg): 90.00 90.00 90.00
Space group Fd-3m (No. 227, origin choice 2)
Asymmetric unit:
1 W 0.125 0.125 0.125 (multiplicity 8)
2 Cl 0.125 0.125 0.625 (multiplicity 8)
3 O 0.000 0.000 0.000 (multiplicity 16)

Below is a relaxed structure of WCl2O2, with properties calculated at the GGA+U level.

Properties
Energy relative to the lowest polymorph listed for this composition   0.000 eV/atom

a b c (Å): 8.377 3.874 7.706
angles (deg): 90.00 90.00 90.00
Space group Pmc2_1 (No. 26)
Asymmetric unit:
1 W 0.000 0.030 0.000 (multiplicity 2)
2 Cl 0.277 0.009 0.515 (multiplicity 4)
3 O 0.000 0.002 0.758 (multiplicity 2)
4 O 0.000 0.495 0.509 (multiplicity 2)

Below is a relaxed structure of WCl4O, with properties calculated at the GGA+U level.

Properties
VASP energy   -52.31 eV per cell

a b c (Å): 9.528 9.528 3.884
angles (deg): 90.00 90.00 90.00
Space group I4 (No. 79)
Asymmetric unit:
1 W 0.000 0.000 0.000 (multiplicity 2)
2 Cl 0.057 0.763 0.956 (multiplicity 8)
3 O 0.000 0.000 0.469 (multiplicity 2)

Below is a relaxed structure of YWClO4, with properties calculated at the GGA+U level.

Properties
VASP energy   -209.87 eV per cell

a b c (Å): 10.390 7.370 6.994
angles (deg): 90.00 107.87 90.00
Space group C2/m (No. 12)
Asymmetric unit:
1 Y 0.222 0.000 0.117 (multiplicity 4)
2 W 0.137 0.500 0.266 (multiplicity 4)
3 Cl 0.011 0.000 0.770 (multiplicity 4)
4 O 0.046 0.500 0.807 (multiplicity 4)
5 O 0.201 0.308 0.157 (multiplicity 8)
6 O 0.204 0.500 0.535 (multiplicity 4)

Below is a relaxed structure of Zr2WClO, with properties calculated at the GGA+U level.

Properties
Energy relative to the lowest polymorph listed for this composition   1.524 eV/atom

a b c (Å): 5.130 5.130 4.671
angles (deg): 90.00 90.00 90.00
Space group P4/mmm (No. 123)
Asymmetric unit:
1 Zr 0.000 0.500 0.000 (multiplicity 2)
2 W 0.000 0.000 0.000 (multiplicity 1)
3 Cl 0.000 0.000 0.500 (multiplicity 1)
4 O 0.500 0.500 0.500 (multiplicity 1)

Below is a relaxed structure of ZrWCl2O, with properties calculated at the GGA+U level.

Properties
Energy relative to the lowest polymorph listed for this composition   0.658 eV/atom

a b c (Å): 4.813 4.813 6.114
angles (deg): 90.00 90.00 90.00
Space group P4/mmm (No. 123)
Asymmetric unit:
1 Zr 0.000 0.000 0.000 (multiplicity 1)
2 W 0.000 0.000 0.500 (multiplicity 1)
3 Cl 0.000 0.500 0.000 (multiplicity 2)
4 O 0.500 0.500 0.500 (multiplicity 1)

no.,magnetic moment (μB/cell)
1,1.81
2,8.00
3,0.00
4,9.56
5,34.61
6,2.00
7,0.07
8,3.76
9,0.00
10,4.00
11,0.00
12,2.86
13,4.00
14,4.00
15,4.40
16,7.92
17,8.00
18,0.00
19,0.00
20,0.00
21,0.26
22,3.53